Record 1
# LiTc2I

LiTc2I after structural relaxation (PBE, the Alexandria database).

```
8
Lattice="3.652 0.000 0.000 0.000 3.652 0.000 1.826 1.826 11.031" Properties=species:S:1:pos:R:3 pbc="T T T"
Tc 1.012 2.739 2.758
Tc 4.565 4.467 8.274
Tc 2.739 2.838 8.274
Tc 2.641 0.913 2.758
Li 1.826 3.652 5.516
Li 1.826 1.826 0.000
I 3.652 1.826 5.516
I 0.000 0.000 0.000
```

Summary:
magnetization	0.000	μB/cell
formation energy (no corrections)	0.643	eV per atom
symmetry	I-42d (122)
relative energy among the computed polymorphs	0	meV/atom

---

Record 2
# Li2TcI6

Li2TcI6 after structural relaxation (PBE, the Alexandria database).

```
18
Lattice="6.961 0.000 0.000 0.000 7.225 0.001 0.000 0.001 12.324" Properties=species:S:1:pos:R:3 pbc="T T T"
I 1.860 1.406 0.004
I 5.341 2.207 6.158
I 1.926 4.809 1.950
I 5.101 5.820 12.321
I 5.044 2.417 1.944
I 5.397 6.030 8.106
I 1.917 4.810 10.381
I 1.621 5.020 6.167
I 1.555 1.197 8.112
I 5.036 2.418 10.375
I 5.406 6.029 4.213
I 1.564 1.196 4.219
Li 0.005 3.613 4.099
Li 3.486 0.001 2.064
Li 3.475 7.226 10.261
Li 6.956 3.614 8.226
Tc 0.000 0.001 6.162
Tc 3.481 3.613 0.000
```

Summary:
magnetization	6.030	μB/cell
formation energy (no corrections)	-0.549	eV per atom
symmetry	P2_1/c (14)

---

Record 3
# Li2TcI

Li2TcI after structural relaxation (PBE, the Alexandria database).

```
4
Lattice="0.502 -4.535 -1.081 -2.795 -1.968 -3.209 1.734 -1.236 -4.177" Properties=species:S:1:pos:R:3 pbc="T T T"
Li -0.140 -1.935 -2.117
Li -0.419 -5.804 -6.351
Tc 0.000 0.000 0.000
I -0.279 -3.869 -4.234
```

Summary:
magnetization	2.600	μB/cell
formation energy (no corrections)	0.642	eV per atom
symmetry	Fm-3m (225)
relative energy among the computed polymorphs	125	meV/atom

---

Record 4
# Li2TcI8

Li2TcI8 after structural relaxation (PBE, the Alexandria database).

```
11
Lattice="7.038 -0.435 -1.661 -2.252 8.383 -1.051 -0.425 0.689 8.706" Properties=species:S:1:pos:R:3 pbc="T T T"
I -0.091 5.127 4.060
I 3.546 7.510 -0.309
I 2.799 6.675 4.739
I 1.562 1.962 1.255
I 4.452 3.510 1.934
I 4.804 2.211 6.411
I 0.816 1.127 6.303
I -0.442 6.426 -0.417
Li 0.213 7.362 5.765
Li 4.148 1.275 0.229
Tc 0.000 0.000 0.000
```

Summary:
magnetization	3.004	μB/cell
formation energy (no corrections)	-0.413	eV per atom
symmetry	C2/m (12)

---

Record 5
# LiTcI3

LiTcI3 after structural relaxation (PBE, the Alexandria database).

```
5
Lattice="-3.798 2.868 3.031 -4.133 -3.148 -2.200 0.573 -3.702 4.220" Properties=species:S:1:pos:R:3 pbc="T T T"
Li -3.679 -1.991 2.525
I 0.286 -1.851 2.110
I -1.899 1.434 1.516
I -2.067 -1.574 -1.100
Tc 0.000 0.000 0.000
```

Summary:
magnetization	3.222	μB/cell
formation energy (no corrections)	0.037	eV per atom
symmetry	Pm-3m (221)
relative energy among the computed polymorphs	0	meV/atom

---

Record 6
# LiZrTc2I

LiZrTc2I after structural relaxation (PBE, the Alexandria database).

```
5
Lattice="4.874 0.000 0.000 0.000 5.767 0.000 0.000 0.000 4.874" Properties=species:S:1:pos:R:3 pbc="T T T"
Zr 0.000 0.000 0.000
Tc 2.437 0.000 0.000
Tc 0.000 0.000 2.437
I 2.437 2.884 2.437
Li 0.000 2.884 0.000
```

Summary:
magnetization	3.938	μB/cell
formation energy (no corrections)	1.399	eV per atom
symmetry	P4/mmm (123)